# TiNbGa2

An optimized crystal structure of TiNbGa2 (GGA-PBE, Alexandria via LeMat-Bulk).

Output
Raw total energy, eV/atom: -6.08
Formation energy, eV per atom: -0.07
ΔE to the lowest computed polymorph, eV per formula unit: 1.28
Calculated density, g/cm³: 6.65

```
16
Lattice="7.1178 0.0000 0.0000 0.0000 7.1178 0.0000 0.0000 0.0000 5.5212" Properties=species:S:1:pos:R:3 pbc="T T T"
Ti 0.0000 0.0000 0.0000
Ti 0.0000 3.5589 1.3803
Ti 3.5589 0.0000 4.1409
Ti 3.5589 3.5589 2.7606
Nb 0.0000 0.0000 2.7606
Nb 0.0000 3.5589 4.1409
Nb 3.5589 0.0000 1.3803
Nb 3.5589 3.5589 0.0000
Ga 1.7443 1.7795 0.6902
Ga 1.7795 5.3032 2.0705
Ga 1.7795 5.3735 4.8311
Ga 1.8146 1.7795 3.4508
Ga 5.3032 5.3384 3.4508
Ga 5.3384 1.7443 4.8311
Ga 5.3384 1.8146 2.0705
Ga 5.3735 5.3384 0.6902
```